Record 1
Here is a relaxed structure of TaCrRh from the Alexandria database. Energies are from PBE-GGA.

Computed properties:
DOS at the Fermi energy (states/eV/atom): 0.733
E_tot (eV per atom): -9.1636
Size of the total moment (μB/cell): 12.15
E_form (eV per atom): 0.4456

a = 6.0033 Å, b = 6.0033 Å, c = 6.0033 Å
α = 90.00°, β = 90.00°, γ = 90.00°
Closest atoms and distances in Å follow each position.
Space group F-43m (No. 216)
Symmetry-distinct sites (fractional):
Ta (0.0000, 0.0000, 0.0000)  4 Cr 2.60, 4 Rh 2.60
Cr (0.2500, 0.2500, 0.2500)  4 Ta 2.60
Rh (0.2500, 0.2500, 0.7500)  4 Ta 2.60

Record 2
Here is a relaxed structure of TiMnIr2Ru from the Alexandria database. Energies are from PBE-GGA.

Computed properties:
DOS at the Fermi energy (states/eV/atom): 1.884
E_tot (eV per atom): -7.1823
Size of the total moment (μB/cell): 0.06
E_form (eV per atom): 1.6302

a = 4.7112 Å, b = 4.7112 Å, c = 4.4564 Å
α = 90.00°, β = 90.00°, γ = 90.00°
Closest atoms and distances in Å follow each position.
Space group P4/mmm (No. 123)
Symmetry-distinct sites (fractional):
Ti (0.0000, 0.0000, 0.0000)  2 Ru 2.23
Mn (0.5000, 0.5000, 0.0000)  8 Ir 3.24, 4 Ti 3.33
Ir (0.0000, 0.5000, 0.5000)  2 Ru 2.36
Ru (0.0000, 0.0000, 0.5000)  2 Ti 2.23, 4 Ir 2.36

Record 3
Here is a relaxed structure of TiMn3Mo from the Alexandria database. Energies are from PBE-GGA.

Computed properties:
DOS at the Fermi energy (states/eV/atom): 1.128
E_tot (eV per atom): -8.0576
Size of the total moment (μB/cell): 5.63
E_form (eV per atom): 1.1894

a = 4.5134 Å, b = 4.5134 Å, c = 4.5134 Å
α = 90.00°, β = 90.00°, γ = 90.00°
Closest atoms and distances in Å follow each position.
Space group Pm-3m (No. 221)
Symmetry-distinct sites (fractional):
Ti (0.0000, 0.0000, 0.0000)  12 Mn 3.19
Mn (0.0000, 0.5000, 0.5000)  2 Mo 2.26
Mo (0.5000, 0.5000, 0.5000)  6 Mn 2.26

Record 4
Here is a relaxed structure of PrGdTmAg from the Alexandria database. Energies are from PBE-GGA.

Computed properties:
DOS at the Fermi energy (states/eV/atom): 0.934
E_tot (eV per atom): -6.4985
Size of the total moment (μB/cell): 29.95
E_form (eV per atom): 0.0473

a = 7.7010 Å, b = 7.7010 Å, c = 7.7010 Å
α = 90.00°, β = 90.00°, γ = 90.00°
Closest atoms and distances in Å follow each position.
Space group F-43m (No. 216)
Symmetry-distinct sites (fractional):
Pr (0.0000, 0.0000, 0.0000)  4 Tm 3.33, 4 Ag 3.33
Gd (0.0000, 0.0000, 0.5000)  4 Ag 3.33, 4 Tm 3.33
Tm (0.2500, 0.2500, 0.2500)  4 Gd 3.33, 4 Pr 3.33
Ag (0.2500, 0.2500, 0.7500)  4 Gd 3.33, 4 Pr 3.33